The following is a DFT calculation (PBE) of Rb5LiPb6 after structural relaxation.

Properties
Energy relative to the elements (eV/f.u.): -1.236
Fermi-level density of states (states/eV/cell): 1.387
Space-group type: C2/m (12)

```
data_Rb5LiPb6
_chemical_formula_sum 'Rb5 Li1 Pb6'
_space_group_name_H-M_alt 'P 1'
_space_group_IT_number 1
_cell_length_a 8.606
_cell_length_b 8.606
_cell_length_c 9.503
_cell_angle_alpha 98.91
_cell_angle_beta 98.91
_cell_angle_gamma 126.75
loop_
_space_group_symop_operation_xyz
'x,y,z'
loop_
_atom_site_label
_atom_site_fract_x
_atom_site_fract_y
_atom_site_fract_z
Rb1 0.000 0.000 0.000
Rb2 0.144 0.856 0.500
Rb3 0.274 0.726 0.000
Rb4 0.726 0.274 0.000
Rb5 0.856 0.144 0.500
Li1 0.500 0.500 0.500
Pb1 0.245 0.479 0.297
Pb2 0.381 0.381 0.818
Pb3 0.479 0.245 0.297
Pb4 0.521 0.755 0.703
Pb5 0.619 0.619 0.182
Pb6 0.755 0.521 0.703
```